Entry 1:
MgCoMo: relaxed, PBE.

a b c (Å): 4.085 4.085 4.085
angles (deg): 60.00 60.00 60.00
Atoms (fractional coordinates):
Co (0.750, 0.750, 0.750)
Mo (0.500, 0.500, 0.500)
Mg (0.000, 0.000, 0.000)

## Properties
Its symmetry is F-43m, No. 216. As for the crystal system: cubic. Its energy above the most stable polymorph in this dataset is 0.82 eV per formula unit.


Entry 2:
Tb2Tm2Sc7: relaxed, PBE.

a b c (Å): 9.144 6.355 6.355
angles (deg): 121.69 99.03 99.03
Atoms (fractional coordinates):
Sc (0.157, 0.482, 0.059)
Sc (0.382, 0.254, 0.254)
Sc (0.843, 0.941, 0.518)
Sc (0.618, 0.746, 0.746)
Sc (0.843, 0.518, 0.941)
Sc (0.000, 0.000, 0.000)
Sc (0.157, 0.059, 0.482)
Tb (0.500, 0.209, 0.791)
Tb (0.500, 0.791, 0.209)
Tm (0.206, 0.662, 0.662)
Tm (0.794, 0.338, 0.338)

## Properties
Its symmetry is C2/m, No. 12. As for the crystal system: monoclinic.


Number 1: energy of formation 0.4361 eV/atom, size of the total moment 0.0 μB/f.u.. Number 2: energy of formation 0.1751 eV/atom, size of the total moment 0.0 μB/f.u..